This record from the Open Quantum Materials Database describes crystalline HfZnHg2 at its relaxed geometry. The functional is PBE.

The structure belongs to space group F-43m (No. 216); the cell edges are 6.8431, 6.8431 and 6.8431 Å and the angles 90.00°, 90.00° and 90.00°. The inequivalent atoms are Hf at (0.0000, 0.0000, 0.0000), Zn at (0.2500, 0.2500, 0.7500), Hg at (0.0000, 0.0000, 0.5000) and Hg at (0.2500, 0.2500, 0.2500).

The formation energy is 16 kJ/mol of atoms. Its theoretical density is 13.37 g/cm³.